Crystalline YNiSe2 at its relaxed geometry. Source: Alexandria, functional PBE. Values from VASP.

Geometry as Quantum ESPRESSO input:
```
&SYSTEM
  ibrav = 0, nat = 4, ntyp = 3
/
ATOMIC_SPECIES
Y 88.91 Y.upf
Ni 58.69 Ni.upf
Se 78.96 Se.upf
CELL_PARAMETERS angstrom
3.880 0.000 0.000
0.000 3.880 0.000
0.000 0.000 5.639
ATOMIC_POSITIONS angstrom
Y 0.000 0.000 0.000
Ni 1.940 1.940 2.057
Se 0.000 0.000 2.651
Se 1.940 1.940 5.173
```

Values from the calculation:
The calculation puts the uncorrected formation energy at -90.48 kJ/mol of atoms. The total magnetization comes out at 0.00 μB/f.u.


Crystalline CoNi2As at its relaxed geometry. Source: Alexandria, functional PBE. Values from VASP.

Geometry as Quantum ESPRESSO input:
```
&SYSTEM
  ibrav = 0, nat = 4, ntyp = 3
/
ATOMIC_SPECIES
Co 58.93 Co.upf
Ni 58.69 Ni.upf
As 74.92 As.upf
CELL_PARAMETERS angstrom
3.539 0.000 0.000
0.000 3.539 0.000
0.000 0.000 3.649
ATOMIC_POSITIONS angstrom
Co 0.000 0.000 0.000
Ni 0.000 1.769 1.825
Ni 1.769 0.000 1.825
As 1.769 1.769 0.000
```

Values from the calculation:
The total magnetization comes out at 0.07 μB/f.u. The formation energy is -0.1069 eV/atom.


Crystalline CsCa2Te2O6 at its relaxed geometry. Source: Alexandria, functional PBE. Values from VASP.

Geometry as Quantum ESPRESSO input:
```
&SYSTEM
  ibrav = 0, nat = 11, ntyp = 4
/
ATOMIC_SPECIES
Cs 132.91 Cs.upf
Ca 40.08 Ca.upf
Te 127.60 Te.upf
O 16.00 O.upf
CELL_PARAMETERS angstrom
6.470 0.000 0.000
-1.147 6.466 0.000
-1.965 -2.723 5.763
ATOMIC_POSITIONS angstrom
Cs 0.000 0.000 0.000
Ca -0.469 4.375 3.248
Ca 3.827 -0.632 2.514
Te -0.788 0.875 5.502
Te 4.146 2.868 0.260
O -0.818 -0.430 3.965
O -0.645 2.423 4.453
O 0.972 4.645 1.467
O 2.386 -0.902 4.296
O 4.002 1.320 1.309
O 4.175 4.173 1.798
```

Values from the calculation:
The calculation puts the uncorrected formation energy at -163.66 kJ/mol of atoms. The total magnetization comes out at 0.00 μB/f.u.


Number 1 is which compound? YNiSe2